<one>
BaCrRe2: relaxed, PBE-GGA.

a = 5.070 Å, b = 5.070 Å, c = 16.120 Å
α = 90.00°, β = 90.00°, γ = 90.00°
Fractional positions:
Ba: 0.000 0.250 0.375
Ba: 0.000 0.750 0.625
Ba: 0.500 0.250 0.125
Ba: 0.500 0.750 0.875
Cr: 0.000 0.250 0.875
Cr: 0.000 0.750 0.125
Cr: 0.500 0.250 0.625
Cr: 0.500 0.750 0.375
Re: 0.000 0.000 0.000
Re: 0.000 0.500 0.000
Re: 0.250 0.250 0.750
Re: 0.250 0.750 0.250
Re: 0.500 0.000 0.500
Re: 0.500 0.500 0.500
Re: 0.750 0.250 0.750
Re: 0.750 0.750 0.250

***

<two>
BaCrRe2: relaxed, PBE-GGA.

a = 3.136 Å, b = 3.136 Å, c = 8.018 Å
α = 90.00°, β = 90.00°, γ = 90.00°
Fractional positions:
Ba: 0.000 0.000 0.000
Cr: 0.000 0.000 0.500
Re: 0.500 0.500 0.341
Re: 0.500 0.500 0.659

***

Pick the least stable structure from those above. Pick: <one>